Record 1
Here is crystalline BaErHgPb at its relaxed geometry from Alexandria. Energies are from PBE.

Cell and atoms, written as POSCAR:
```
BaErHgPb
1.0
0.000 4.009 4.009
4.009 0.000 4.009
4.009 4.009 0.000
Ba Er Hg Pb
1 1 1 1
direct
0.000 0.000 0.000 Ba
0.500 0.500 0.500 Er
0.250 0.250 0.250 Hg
0.750 0.750 0.750 Pb
```

Calculated values
E_form	-368	meV/atom
calculated total energy	-0.1099	Ha/atom
M_tot	0.00	μB/cell

***

Record 2
Here is crystalline ReWSe2 at its relaxed geometry from Alexandria. Energies are from PBE.

Cell and atoms, written as POSCAR:
```
ReWSe2
1.0
-1.539 2.196 4.820
1.539 -2.196 4.820
1.539 2.196 -4.820
Re W Se
1 1 2
direct
0.000 0.000 0.000 Re
0.738 0.238 0.500 W
0.221 0.721 0.500 Se
0.503 0.503 0.000 Se
```

Calculated values
ΔE_f (raw)	0.61	eV per atom
energy above the lowest structure with this stoichiometry	606	meV per atom
calculated total energy	-0.2748	Ha/atom
M_tot	0.00	μB/cell

***

Record 3
Here is crystalline V3Cr5 at its relaxed geometry from Alexandria. Energies are from PBE.

Cell and atoms, written as POSCAR:
```
V3Cr5
1.0
-2.895 2.895 2.895
2.895 -2.895 2.895
2.895 2.895 -2.895
V Cr
3 5
direct
0.000 0.500 0.500 V
0.500 0.000 0.500 V
0.500 0.500 0.000 V
0.000 0.000 0.000 Cr
0.000 0.000 0.500 Cr
0.000 0.500 0.000 Cr
0.500 0.000 0.000 Cr
0.500 0.500 0.500 Cr
```

Calculated values
E_form	-87	meV/atom
energy above the lowest structure with this stoichiometry	3	meV per atom
calculated total energy	-0.3499	Ha/atom
M_tot	0.00	μB/cell

***

Record 4
Here is crystalline Sm14ThSc at its relaxed geometry from Alexandria. Energies are from PBE.

Cell and atoms, written as POSCAR:
```
Sm14ThSc
1.0
7.200 0.000 0.000
0.000 7.200 0.000
0.000 0.000 10.207
Sm Th Sc
14 1 1
direct
0.000 0.000 0.000 Sm
0.000 0.500 0.000 Sm
0.000 0.500 0.500 Sm
0.250 0.250 0.255 Sm
0.250 0.250 0.745 Sm
0.250 0.750 0.255 Sm
0.250 0.750 0.745 Sm
0.500 0.000 0.000 Sm
0.500 0.000 0.500 Sm
0.500 0.500 0.000 Sm
0.750 0.250 0.255 Sm
0.750 0.250 0.745 Sm
0.750 0.750 0.255 Sm
0.750 0.750 0.745 Sm
0.000 0.000 0.500 Th
0.500 0.500 0.500 Sc
```

Calculated values
E_form	28	meV/atom
calculated total energy	-0.1823	Ha/atom
M_tot	0.00	μB/cell

***

Record 5
Here is crystalline CsSnF3 at its relaxed geometry from Alexandria. Energies are from PBE.

Cell and atoms, written as POSCAR:
```
CsSnF3
1.0
3.598 2.077 5.335
-3.598 2.077 5.335
0.000 -4.155 5.335
Cs Sn F
2 2 6
direct
0.000 0.000 0.000 Cs
0.500 0.500 0.500 Cs
0.251 0.251 0.251 Sn
0.751 0.751 0.751 Sn
0.037 0.880 0.576 F
0.076 0.380 0.537 F
0.380 0.537 0.076 F
0.537 0.076 0.380 F
0.576 0.037 0.880 F
0.880 0.576 0.037 F
```

Calculated values
ΔE_f (raw)	-2.53	eV per atom
calculated total energy	-0.1698	Ha/atom
M_tot	0.00	μB/cell

***

Record 6
Here is crystalline TaSb3Au at its relaxed geometry from Alexandria. Energies are from PBE.

Cell and atoms, written as POSCAR:
```
TaSb3Au
1.0
5.275 0.000 0.000
0.000 5.275 0.000
0.000 0.000 5.275
Ta Sb Au
1 3 1
direct
0.000 0.000 0.000 Ta
0.000 0.500 0.500 Sb
0.500 0.000 0.500 Sb
0.500 0.500 0.000 Sb
0.500 0.500 0.500 Au
```

Calculated values
ΔE_f (raw)	1.26	eV per atom
energy above the lowest structure with this stoichiometry	729	meV per atom
calculated total energy	-0.1557	Ha/atom
M_tot	2.18	μB/cell

***

Record 7
Here is crystalline Mn2CoN at its relaxed geometry from Alexandria. Energies are from PBE.

Cell and atoms, written as POSCAR:
```
Mn2CoN
1.0
1.374 0.793 6.258
-1.374 0.793 6.258
0.000 -1.586 6.258
Mn Co N
2 1 1
direct
0.000 0.000 0.000 Mn
0.212 0.212 0.212 Mn
0.774 0.774 0.774 Co
0.608 0.608 0.608 N
```

Calculated values
ΔE_f (raw)	-0.08	eV per atom
calculated total energy	-0.3130	Ha/atom
M_tot	5.59	μB/cell

***

Record 8
Here is crystalline Ac2CuAu3 at its relaxed geometry from Alexandria. Energies are from PBE.

Cell and atoms, written as POSCAR:
```
Ac2CuAu3
1.0
4.071 0.000 0.000
0.000 4.738 0.000
0.000 0.000 8.092
Ac Cu Au
2 1 3
direct
0.000 0.000 0.000 Ac
0.000 0.500 0.498 Ac
0.500 0.000 0.323 Cu
0.500 0.000 0.645 Au
0.500 0.500 0.184 Au
0.500 0.500 0.836 Au
```

Calculated values
E_form	-711	meV/atom
calculated total energy	-0.1618	Ha/atom
M_tot	0.00	μB/cell